A plane-wave DFT calculation with GGA-PBE was carried out for an optimized crystal structure of Th4BiOs.

Properties
- calculated total energy (eV/cell) = -93.6
- formation energy from the elements (eV/atom) = -0.34
- energy relative to the lowest polymorph listed for this composition (kJ/mol of formula units) = 0

Cell: 7.515 7.515 6.280 Å, 90.00 90.00 90.00°
Space group P4/mcc (No. 124)
Unique sites:
Th: 0.139 0.316 0.000
Bi: 0.500 0.500 0.250
Os: 0.000 0.000 0.250

---

A plane-wave DFT calculation with GGA-PBE was carried out for an optimized crystal structure of Th8Bi2Os.

Properties
- calculated total energy (eV/cell) = -159.5
- formation energy from the elements (eV/atom) = -0.13

Cell: 18.878 5.573 6.869 Å, 90.00 109.22 90.00°
Space group C2/m (No. 12)
Unique sites:
Th: 0.002 0.000 0.236
Th: 0.089 0.500 0.742
Th: 0.140 0.500 0.295
Th: 0.222 0.000 0.121
Bi: 0.172 0.000 0.606
Os: 0.000 0.500 0.000

---

A plane-wave DFT calculation with GGA-PBE was carried out for an optimized crystal structure of Th3BiOs.

Properties
- calculated total energy (eV/cell) = -158.3
- formation energy from the elements (eV/atom) = -0.44
- energy relative to the lowest polymorph listed for this composition (kJ/mol of formula units) = 0

Cell: 8.902 4.398 15.381 Å, 90.00 90.00 90.00°
Space group Pnma (No. 62)
Unique sites:
Th: 0.024 0.250 0.103
Th: 0.152 0.250 0.504
Th: 0.189 0.750 0.281
Bi: 0.090 0.750 0.676
Os: 0.178 0.250 0.938

---

A plane-wave DFT calculation with GGA-PBE was carried out for an optimized crystal structure of Th5Bi2Os2.

Properties
- calculated total energy (eV/cell) = -277.4
- formation energy from the elements (eV/atom) = -0.23
- energy relative to the lowest polymorph listed for this composition (kJ/mol of formula units) = 220

Cell: 20.073 8.709 6.763 Å, 90.00 90.00 90.00°
Space group Ima2 (No. 46)
Unique sites:
Th: 0.019 0.250 0.000
Th: 0.139 0.579 0.250
Th: 0.250 0.121 0.249
Bi: 0.103 0.548 0.750
Os: 0.000 0.000 0.750
Os: 0.250 0.078 0.751

---

A plane-wave DFT calculation with GGA-PBE was carried out for an optimized crystal structure of Th5Bi2Os.

Properties
- calculated total energy (eV/cell) = -238.3
- formation energy from the elements (eV/atom) = -0.44
- energy relative to the lowest polymorph listed for this composition (kJ/mol of formula units) = 0

Cell: 12.769 9.194 8.327 Å, 90.00 90.00 90.00°
Space group Pnma (No. 62)
Unique sites:
Th: 0.003 0.250 0.034
Th: 0.059 0.038 0.693
Th: 0.198 0.750 0.388
Th: 0.199 0.250 0.356
Bi: 0.177 0.513 0.084
Os: 0.015 0.750 0.568

---

A plane-wave DFT calculation with GGA-PBE was carried out for an optimized crystal structure of Th3BiOs.

Properties
- calculated total energy (eV/cell) = -155.4
- formation energy from the elements (eV/atom) = -0.29
- energy relative to the lowest polymorph listed for this composition (kJ/mol of formula units) = 70

Cell: 7.779 15.061 5.351 Å, 90.00 90.00 90.00°
Space group Cmmm (No. 65)
Unique sites:
Th: 0.000 0.123 0.000
Th: 0.198 0.500 0.500
Th: 0.250 0.250 0.500
Bi: 0.000 0.359 0.000
Os: 0.000 0.107 0.500

---

What is the formation energy from the elements in the second record? -0.13 eV/atom

---

Number 1 is which compound? Th4BiOs

---

Please write out number 5 again, unchanged.
A plane-wave DFT calculation with GGA-PBE was carried out for an optimized crystal structure of Th5Bi2Os.

Properties
- calculated total energy (eV/cell) = -238.3
- formation energy from the elements (eV/atom) = -0.44
- energy relative to the lowest polymorph listed for this composition (kJ/mol of formula units) = 0

Cell: 12.769 9.194 8.327 Å, 90.00 90.00 90.00°
Space group Pnma (No. 62)
Unique sites:
Th: 0.003 0.250 0.034
Th: 0.059 0.038 0.693
Th: 0.198 0.750 0.388
Th: 0.199 0.250 0.356
Bi: 0.177 0.513 0.084
Os: 0.015 0.750 0.568